No. 1
First-principles (GGA-PBE) data for an optimized crystal structure of GeRu3C, as listed in Alexandria.

The space group is Pm-3m (No. 221) and the conventional cell measures 4.040, 4.040 and 4.040 Å, with angles of 90.00, 90.00 and 90.00 degrees. The distinct sites, in fractional coordinates, are Ge at (0.000, 0.000, 0.000), Ru at (0.000, 0.500, 0.500) and C at (0.500, 0.500, 0.500).

The calculation puts the offset from the most stable computed form at 0.0 meV/atom. The calculation puts the total energy at -40.80 eV per cell. The calculation puts the density at 9.771 g cm⁻³.

No. 2
First-principles (GGA-PBE) data for an optimized crystal structure of Ba2ZrSn, as listed in Alexandria.

The space group is I-42d (No. 122) and the conventional cell measures 9.612, 9.612 and 6.454 Å, with angles of 90.00, 90.00 and 90.00 degrees. The distinct sites, in fractional coordinates, are Ba at (0.233, 0.250, 0.125), Zr at (0.000, 0.000, 0.500) and Sn at (0.000, 0.000, 0.000).

The calculation puts the total energy at -59.40 eV per cell. The calculation puts the density at 5.397 g cm⁻³.

No. 3
First-principles (GGA-PBE) data for an optimized crystal structure of TaZnTe2, as listed in Alexandria.

The space group is C2/m (No. 12) and the conventional cell measures 9.346, 3.501 and 5.595 Å, with angles of 90.00, 97.17 and 90.00 degrees. The distinct sites, in fractional coordinates, are Ta at (0.000, 0.000, 0.000), Zn at (0.000, 0.500, 0.500) and Te at (0.214, 0.500, 0.229).

The calculation puts the uncorrected formation energy at 0.891 eV/f.u. The calculation puts the total energy at -37.04 eV per cell. The calculation puts the density at 9.172 g cm⁻³.

No. 4
First-principles (GGA-PBE) data for an optimized crystal structure of Zn5CuAu4, as listed in Alexandria.

The space group is P4/mmm (No. 123) and the conventional cell measures 3.202, 3.202 and 15.268 Å, with angles of 90.00, 90.00 and 90.00 degrees. The distinct sites, in fractional coordinates, are Zn at (0.000, 0.000, 0.000), Zn at (0.000, 0.000, 0.206), Zn at (0.000, 0.000, 0.413), Cu at (0.500, 0.500, 0.500), Au at (0.500, 0.500, 0.104) and Au at (0.500, 0.500, 0.310).

The calculation puts the total energy at -25.37 eV per cell. The calculation puts the density at 12.497 g cm⁻³.

No. 5
First-principles (GGA-PBE) data for an optimized crystal structure of PdSe2I, as listed in Alexandria.

The space group is P3m1 (No. 156) and the conventional cell measures 3.3652, 3.3652 and 11.1915 Å, with angles of 90.00, 90.00 and 120.00 degrees. The distinct sites, in fractional coordinates, are Pd at (0.0000, 0.0000, 0.0000), Se at (0.0000, 0.0000, 0.2200), Se at (0.3333, 0.6667, 0.8668) and I at (0.6667, 0.3333, 0.5705).

The calculation puts the offset from the most stable computed form at 441.7 meV/atom. The calculation puts the uncorrected formation energy at 1.020 eV/f.u. The calculation puts the total energy at -12.69 eV per cell. The calculation puts the density at 5.919 g cm⁻³.

No. 6
First-principles (GGA-PBE) data for an optimized crystal structure of KMg3Pb, as listed in Alexandria.

The space group is Pm-3m (No. 221) and the conventional cell measures 5.748, 5.748 and 5.748 Å, with angles of 90.00, 90.00 and 90.00 degrees. The distinct sites, in fractional coordinates, are K at (0.000, 0.000, 0.000), Mg at (0.000, 0.500, 0.500) and Pb at (0.500, 0.500, 0.500).

The calculation puts the offset from the most stable computed form at 0.0 meV/atom. The calculation puts the total energy at -8.22 eV per cell. The calculation puts the density at 2.792 g cm⁻³.

No. 7
First-principles (GGA-PBE) data for an optimized crystal structure of LiSiPb2, as listed in Alexandria.

The space group is I-42d (No. 122) and the conventional cell measures 8.411, 8.411 and 6.067 Å, with angles of 90.00, 90.00 and 90.00 degrees. The distinct sites, in fractional coordinates, are Li at (0.000, 0.000, 0.000), Si at (0.000, 0.000, 0.500) and Pb at (0.197, 0.250, 0.625).

The calculation puts the uncorrected formation energy at 0.656 eV/f.u. The calculation puts the total energy at -56.39 eV per cell. The calculation puts the density at 6.955 g cm⁻³.

No. 8
First-principles (GGA-PBE) data for an optimized crystal structure of GaRe2Au, as listed in Alexandria.

The space group is I-42d (No. 122) and the conventional cell measures 7.261, 7.261 and 5.151 Å, with angles of 90.00, 90.00 and 90.00 degrees. The distinct sites, in fractional coordinates, are Ga at (0.000, 0.000, 0.000), Re at (0.220, 0.750, 0.125) and Au at (0.000, 0.000, 0.500).

The calculation puts the total energy at -109.95 eV per cell. The calculation puts the density at 15.631 g cm⁻³.

No. 9
First-principles (GGA-PBE) data for an optimized crystal structure of DyBePt6, as listed in Alexandria.

The space group is P4/mmm (No. 123) and the conventional cell measures 4.029, 4.029 and 7.835 Å, with angles of 90.00, 90.00 and 90.00 degrees. The distinct sites, in fractional coordinates, are Dy at (0.000, 0.000, 0.000), Be at (0.000, 0.000, 0.500), Pt at (0.000, 0.500, 0.274), Pt at (0.500, 0.500, 0.000) and Pt at (0.500, 0.500, 0.500).

The calculation puts the offset from the most stable computed form at 0.0 meV/atom. The calculation puts the total energy at -49.67 eV per cell. The calculation puts the density at 17.519 g cm⁻³.

No. 10
First-principles (GGA-PBE) data for an optimized crystal structure of Tb6Co2Si, as listed in Alexandria.

The space group is Immm (No. 71) and the conventional cell measures 9.287, 9.521 and 9.842 Å, with angles of 90.00, 90.00 and 90.00 degrees. The distinct sites, in fractional coordinates, are Tb at (0.000, 0.194, 0.239), Tb at (0.186, 0.500, 0.173), Tb at (0.222, 0.320, 0.500), Co at (0.000, 0.337, 0.000), Co at (0.000, 0.500, 0.386), Si at (0.000, 0.000, 0.000) and Si at (0.000, 0.000, 0.500).

The calculation puts the uncorrected formation energy at -2.541 eV/f.u. The calculation puts the total energy at -199.83 eV per cell. The calculation puts the density at 8.392 g cm⁻³.

No. 11
First-principles (GGA-PBE) data for an optimized crystal structure of Hf2TiRu2, as listed in Alexandria.

The space group is P4/mbm (No. 127) and the conventional cell measures 7.367, 7.367 and 3.315 Å, with angles of 90.00, 90.00 and 90.00 degrees. The distinct sites, in fractional coordinates, are Hf at (0.161, 0.339, 0.000), Ti at (0.000, 0.000, 0.500) and Ru at (0.142, 0.642, 0.500).

The calculation puts the offset from the most stable computed form at 94.0 meV/atom. The calculation puts the total energy at -96.02 eV per cell. The calculation puts the density at 11.207 g cm⁻³.

No. 12
First-principles (GGA-PBE) data for an optimized crystal structure of LiSF3, as listed in Alexandria.

The space group is Pm-3m (No. 221) and the conventional cell measures 4.259, 4.259 and 4.259 Å, with angles of 90.00, 90.00 and 90.00 degrees. The distinct sites, in fractional coordinates, are Li at (0.000, 0.000, 0.000), S at (0.500, 0.500, 0.500) and F at (0.000, 0.500, 0.500).

The calculation puts the offset from the most stable computed form at 0.0 meV/atom. The calculation puts the uncorrected formation energy at -5.650 eV/f.u. The calculation puts the total energy at -17.31 eV per cell. The calculation puts the density at 2.063 g cm⁻³.

No. 13
First-principles (GGA-PBE) data for an optimized crystal structure of Ac2ZrIr3O12, as listed in Alexandria.

The space group is R-3m (No. 166, hexagonal axes) and the conventional cell measures 7.1497, 7.1497 and 16.2907 Å, with angles of 90.00, 90.00 and 120.00 degrees. The distinct sites, in fractional coordinates, are Ac at (0.0000, 0.0000, 0.1175), Zr at (0.0000, 0.0000, 0.5000), Ir at (0.0000, 0.5000, 0.0000), O at (0.0084, 0.5042, 0.8781) and O at (0.0407, 0.5204, 0.3265).

The calculation puts the uncorrected formation energy at -31.039 eV/f.u. The calculation puts the total energy at -401.66 eV per cell. The calculation puts the density at 9.076 g cm⁻³.

No. 14
First-principles (GGA-PBE) data for an optimized crystal structure of ZrAlTeI2, as listed in Alexandria.

The space group is P4/mmm (No. 123) and the conventional cell measures 5.771, 5.771 and 5.659 Å, with angles of 90.00, 90.00 and 90.00 degrees. The distinct sites, in fractional coordinates, are Zr at (0.000, 0.000, 0.000), Al at (0.500, 0.500, 0.500), Te at (0.000, 0.000, 0.500) and I at (0.000, 0.500, 0.000).

The calculation puts the offset from the most stable computed form at 0.0 meV/atom. The calculation puts the uncorrected formation energy at -0.782 eV/f.u. The calculation puts the total energy at -19.31 eV per cell. The calculation puts the density at 4.402 g cm⁻³.

No. 15
First-principles (GGA-PBE) data for an optimized crystal structure of ZrCuNi2, as listed in Alexandria.

The space group is P4mm (No. 99) and the conventional cell measures 3.301, 3.301 and 5.190 Å, with angles of 90.00, 90.00 and 90.00 degrees. The distinct sites, in fractional coordinates, are Zr at (0.000, 0.000, 0.000), Cu at (0.500, 0.500, 0.292), Ni at (0.000, 0.000, 0.503) and Ni at (0.500, 0.500, 0.755).

The calculation puts the total energy at -24.81 eV per cell. The calculation puts the density at 7.992 g cm⁻³.

No. 16
First-principles (GGA-PBE) data for an optimized crystal structure of MgGe2Au2, as listed in Alexandria.

The space group is P4/mbm (No. 127) and the conventional cell measures 7.294, 7.294 and 3.697 Å, with angles of 90.00, 90.00 and 90.00 degrees. The distinct sites, in fractional coordinates, are Mg at (0.000, 0.000, 0.000), Ge at (0.129, 0.371, 0.000) and Au at (0.177, 0.677, 0.500).

The calculation puts the total energy at -34.62 eV per cell. The calculation puts the density at 9.516 g cm⁻³.

No. 17
First-principles (GGA-PBE) data for an optimized crystal structure of CoMoPd2Pt, as listed in Alexandria.

The space group is P4/mmm (No. 123) and the conventional cell measures 4.526, 4.526 and 4.253 Å, with angles of 90.00, 90.00 and 90.00 degrees. The distinct sites, in fractional coordinates, are Co at (0.000, 0.000, 0.000), Mo at (0.000, 0.000, 0.500), Pd at (0.000, 0.500, 0.000) and Pt at (0.500, 0.500, 0.500).

The calculation puts the total energy at -29.33 eV per cell. The calculation puts the density at 10.729 g cm⁻³.

No. 18
First-principles (GGA-PBE) data for an optimized crystal structure of NaIr, as listed in Alexandria.

The space group is Fm-3m (No. 225) and the conventional cell measures 5.478, 5.478 and 5.478 Å, with angles of 90.00, 90.00 and 90.00 degrees. The distinct sites, in fractional coordinates, are Na at (0.000, 0.000, 0.000) and Ir at (0.000, 0.000, 0.500).

The calculation puts the total energy at -25.73 eV per cell. The calculation puts the density at 8.695 g cm⁻³.

No. 19
First-principles (GGA-PBE) data for an optimized crystal structure of Be2GeS2, as listed in Alexandria.

The space group is P4/mbm (No. 127) and the conventional cell measures 6.600, 6.600 and 3.097 Å, with angles of 90.00, 90.00 and 90.00 degrees. The distinct sites, in fractional coordinates, are Be at (0.120, 0.380, 0.000), Ge at (0.000, 0.000, 0.000) and S at (0.158, 0.658, 0.500).

The calculation puts the offset from the most stable computed form at 103.4 meV/atom. The calculation puts the uncorrected formation energy at 1.136 eV/f.u. The calculation puts the total energy at -38.38 eV per cell. The calculation puts the density at 3.811 g cm⁻³.

No. 20
First-principles (GGA-PBE) data for an optimized crystal structure of K2Pd2Cl7, as listed in Alexandria.

The space group is C2/m (No. 12) and the conventional cell measures 9.495, 15.189 and 4.490 Å, with angles of 90.00, 98.55 and 90.00 degrees. The distinct sites, in fractional coordinates, are K at (0.000, 0.219, 0.000), Pd at (0.245, 0.500, 0.372), Cl at (0.000, 0.500, 0.500), Cl at (0.167, 0.000, 0.093) and Cl at (0.246, 0.154, 0.628).

The calculation puts the uncorrected formation energy at -10.240 eV/f.u. The calculation puts the total energy at -71.50 eV per cell. The calculation puts the density at 2.796 g cm⁻³.

No. 21
First-principles (GGA-PBE) data for an optimized crystal structure of Rb2ZrCI6, as listed in Alexandria.

The space group is I4/mmm (No. 139) and the conventional cell measures 8.028, 8.028 and 12.694 Å, with angles of 90.00, 90.00 and 90.00 degrees. The distinct sites, in fractional coordinates, are Rb at (0.000, 0.500, 0.250), Zr at (0.000, 0.000, 0.000), C at (0.000, 0.000, 0.500), I at (0.000, 0.000, 0.229) and I at (0.244, 0.244, 0.500).

The calculation puts the uncorrected formation energy at -3.499 eV/f.u. The calculation puts the total energy at -65.01 eV per cell. The calculation puts the density at 4.204 g cm⁻³.

No. 22
First-principles (GGA-PBE) data for an optimized crystal structure of BeCr2Re, as listed in Alexandria.

The space group is Cmm2 (No. 35) and the conventional cell measures 2.968, 4.171 and 7.760 Å, with angles of 90.00, 90.00 and 90.00 degrees. The distinct sites, in fractional coordinates, are Be at (0.000, 0.000, 0.000), Cr at (0.000, 0.000, 0.522), Cr at (0.000, 0.500, 0.766) and Re at (0.000, 0.500, 0.249).

The calculation puts the total energy at -69.93 eV per cell. The calculation puts the density at 10.345 g cm⁻³.

No. 23
First-principles (GGA-PBE) data for an optimized crystal structure of PrBPt4, as listed in Alexandria.

The space group is P6/mmm (No. 191) and the conventional cell measures 5.5206, 5.5206 and 7.7169 Å, with angles of 90.00, 90.00 and 120.00 degrees. The distinct sites, in fractional coordinates, are Pr at (0.0000, 0.0000, 0.0000), Pr at (0.0000, 0.0000, 0.5000), B at (0.3333, 0.6667, 0.0000), Pt at (0.0000, 0.5000, 0.1988) and Pt at (0.3333, 0.6667, 0.5000).

The calculation puts the offset from the most stable computed form at 0.0 meV/atom. The calculation puts the total energy at -80.70 eV per cell. The calculation puts the density at 15.198 g cm⁻³.

No. 24
First-principles (GGA-PBE) data for an optimized crystal structure of CrRuSe2, as listed in Alexandria.

The space group is Fm-3m (No. 225) and the conventional cell measures 6.154, 6.154 and 6.154 Å, with angles of 90.00, 90.00 and 90.00 degrees. The distinct sites, in fractional coordinates, are Cr at (0.000, 0.000, 0.000), Ru at (0.000, 0.000, 0.500) and Se at (0.250, 0.250, 0.250).

The calculation puts the offset from the most stable computed form at 483.5 meV/atom. The calculation puts the uncorrected formation energy at 0.848 eV/f.u. The calculation puts the total energy at -100.08 eV per cell. The calculation puts the density at 8.861 g cm⁻³.